No. 1
VASP calculation (PBE) on an optimized crystal structure of K2Cu2I7.

Properties
raw formation energy = -0.496 eV/atom
magnetic moment = 0.00 μB/f.u.
ρ = 3.2 g/cm3

Cell lengths 10.9289, 11.4344, 9.3115 Å; angles 90.00, 103.65, 90.00 degrees
Closest atoms and distances in Å follow each position.
Space group C2/m (No. 12)
Symmetry-distinct sites (fractional):
K (0.0000, 0.2284, 0.0000) (multiplicity 4)  6 I 3.56-3.60
Cu (0.2214, 0.5000, 0.6978) (multiplicity 4)  4 I 2.54-2.67
I (0.0000, 0.5000, 0.5000) (multiplicity 2)  2 Cu 2.67
I (0.0364, 0.0000, 0.2660) (multiplicity 4)  1 Cu 2.59
I (0.1955, 0.2839, 0.7466) (multiplicity 8)  1 Cu 2.54

No. 2
VASP calculation (PBE) on an optimized crystal structure of K2CuI4.

Properties
raw formation energy = -0.809 eV/atom
magnetic moment = 0.00 μB/f.u.
ρ = 3.9 g/cm3

Cell lengths 5.5050, 5.5050, 18.0971 Å; angles 90.00, 90.00, 90.00 degrees
Closest atoms and distances in Å follow each position.
Space group I4/mmm (No. 139)
Symmetry-distinct sites (fractional):
K (0.0000, 0.0000, 0.1410) (multiplicity 4)  9 I 3.58-3.91
Cu (0.0000, 0.0000, 0.5000) (multiplicity 2)  6 I 2.75-2.91
I (0.0000, 0.0000, 0.3390) (multiplicity 4)  1 Cu 2.91
I (0.0000, 0.5000, 0.0000) (multiplicity 4)  2 Cu 2.75